# Ba2LaOs, optimized geometry, DFT GGA-PBEsol
# **D(E_F)**: 1.006 states/eV/atom
# **Total energy**: -19.39 eV per cell
# **Total magnetic moment**: 0.0 μB per formula unit
# **Symmetry**: F-43m, No. 216
# **Formation enthalpy at 0 K**: 2.5 eV per formula unit
data_Ba2LaOs
_chemical_formula_sum 'Ba2 La1 Os1'
_space_group_name_H-M_alt 'P 1'
_space_group_IT_number 1
_cell_length_a 5.438
_cell_length_b 5.438
_cell_length_c 5.438
_cell_angle_alpha 60.00
_cell_angle_beta 60.00
_cell_angle_gamma 60.00
loop_
_space_group_symop_operation_xyz
'x,y,z'
loop_
_atom_site_label
_atom_site_fract_x
_atom_site_fract_y
_atom_site_fract_z
Os1 0.250 0.250 0.250
Ba1 0.000 0.000 0.000
Ba2 0.750 0.750 0.750
La1 0.500 0.500 0.500

=====

# SiPtPb2, optimized geometry, DFT GGA-PBEsol
# **D(E_F)**: 0.264 states/eV/atom
# **Total energy**: -21.70 eV per cell
# **Total magnetic moment**: 0.0 μB per formula unit
# **Symmetry**: R3m, No. 160
# **Uncorrected formation energy**: -0.248 eV per atom
data_SiPtPb2
_chemical_formula_sum 'Si1 Pt1 Pb2'
_space_group_name_H-M_alt 'P 1'
_space_group_IT_number 1
_cell_length_a 4.152
_cell_length_b 4.152
_cell_length_c 6.850
_cell_angle_alpha 72.36
_cell_angle_beta 72.36
_cell_angle_gamma 60.00
loop_
_space_group_symop_operation_xyz
'x,y,z'
loop_
_atom_site_label
_atom_site_fract_x
_atom_site_fract_y
_atom_site_fract_z
Pb1 0.222 0.222 0.335
Pb2 0.028 0.028 0.917
Si1 0.791 0.791 0.628
Pt1 0.459 0.459 0.623

=====

# InTcPS2, optimized geometry, DFT GGA-PBEsol
# **D(E_F)**: 0.907 states/eV/atom
# **Total energy**: -28.05 eV per cell
# **Total magnetic moment**: 0.0 μB per formula unit
# **Symmetry**: P4/mmm, No. 123
# **Uncorrected formation energy**: 0.152 eV per atom
data_InTcPS2
_chemical_formula_sum 'In1 Tc1 P1 S2'
_space_group_name_H-M_alt 'P 1'
_space_group_IT_number 1
_cell_length_a 4.670
_cell_length_b 4.603
_cell_length_c 4.603
_cell_angle_alpha 90.00
_cell_angle_beta 90.00
_cell_angle_gamma 90.00
loop_
_space_group_symop_operation_xyz
'x,y,z'
loop_
_atom_site_label
_atom_site_fract_x
_atom_site_fract_y
_atom_site_fract_z
S1 0.000 0.500 0.000
S2 0.000 0.000 0.500
In1 0.500 0.500 0.500
P1 0.500 0.000 0.000
Tc1 0.000 0.000 0.000

=====

# TePd3, optimized geometry, DFT GGA-PBEsol
# **D(E_F)**: 0.404 states/eV/atom
# **Total energy**: -22.41 eV per cell
# **Total magnetic moment**: 0.0 μB per formula unit
# **Symmetry**: I4/mmm, No. 139
# **Uncorrected formation energy**: -0.252 eV per atom
data_TePd3
_chemical_formula_sum 'Te1 Pd3'
_space_group_name_H-M_alt 'P 1'
_space_group_IT_number 1
_cell_length_a 4.475
_cell_length_b 4.475
_cell_length_c 4.538
_cell_angle_alpha 119.54
_cell_angle_beta 119.54
_cell_angle_gamma 90.00
loop_
_space_group_symop_operation_xyz
'x,y,z'
loop_
_atom_site_label
_atom_site_fract_x
_atom_site_fract_y
_atom_site_fract_z
Te1 0.000 0.000 0.000
Pd1 0.500 0.500 0.000
Pd2 0.250 0.750 0.500
Pd3 0.750 0.250 0.500

=====

# LiSiTe2, optimized geometry, DFT GGA-PBEsol
# **D(E_F)**: 0.222 states/eV/atom
# **Total energy**: -15.35 eV per cell
# **Total magnetic moment**: 0.0 μB per formula unit
# **Symmetry**: C2/m, No. 12
# **Uncorrected formation energy**: -0.145 eV per atom
data_LiSiTe2
_chemical_formula_sum 'Li1 Si1 Te2'
_space_group_name_H-M_alt 'P 1'
_space_group_IT_number 1
_cell_length_a 3.041
_cell_length_b 5.641
_cell_length_c 5.641
_cell_angle_alpha 90.01
_cell_angle_beta 95.00
_cell_angle_gamma 95.00
loop_
_space_group_symop_operation_xyz
'x,y,z'
loop_
_atom_site_label
_atom_site_fract_x
_atom_site_fract_y
_atom_site_fract_z
Te1 0.000 0.000 0.500
Te2 0.000 0.500 0.000
Si1 0.000 0.500 0.500
Li1 0.000 0.000 0.000

=====

# As2WBr, optimized geometry, DFT GGA-PBEsol
# **D(E_F)**: 0.600 states/eV/atom
# **Total energy**: -24.73 eV per cell
# **Total magnetic moment**: 0.0 μB per formula unit
# **Symmetry**: Imm2, No. 44
# **Uncorrected formation energy**: 0.290 eV per atom
data_As2WBr
_chemical_formula_sum 'As2 W1 Br1'
_space_group_name_H-M_alt 'P 1'
_space_group_IT_number 1
_cell_length_a 3.142
_cell_length_b 4.101
_cell_length_c 7.209
_cell_angle_alpha 106.52
_cell_angle_beta 102.59
_cell_angle_gamma 90.00
loop_
_space_group_symop_operation_xyz
'x,y,z'
loop_
_atom_site_label
_atom_site_fract_x
_atom_site_fract_y
_atom_site_fract_z
W1 0.236 0.736 0.473
Br1 0.583 0.583 0.166
As1 0.783 0.283 0.567
As2 0.897 0.897 0.794

=====

# KInAs2, optimized geometry, DFT GGA-PBEsol
# **D(E_F)**: 0.827 states/eV/atom
# **Total energy**: -13.52 eV per cell
# **Total magnetic moment**: 0.0 μB per formula unit
# **Symmetry**: F-43m, No. 216
# **Formation enthalpy at 0 K**: 0.8 eV per formula unit
data_KInAs2
_chemical_formula_sum 'K1 In1 As2'
_space_group_name_H-M_alt 'P 1'
_space_group_IT_number 1
_cell_length_a 5.130
_cell_length_b 5.130
_cell_length_c 5.130
_cell_angle_alpha 60.00
_cell_angle_beta 60.00
_cell_angle_gamma 60.00
loop_
_space_group_symop_operation_xyz
'x,y,z'
loop_
_atom_site_label
_atom_site_fract_x
_atom_site_fract_y
_atom_site_fract_z
In1 0.500 0.500 0.500
As1 0.750 0.750 0.750
As2 0.000 0.000 0.000
K1 0.250 0.250 0.250

=====

# CdSbRh2, optimized geometry, DFT GGA-PBEsol
# **D(E_F)**: 0.640 states/eV/atom
# **Total energy**: -22.49 eV per cell
# **Total magnetic moment**: 0.0 μB per formula unit
# **Symmetry**: C2/m, No. 12
# **Uncorrected formation energy**: -0.114 eV per atom
data_CdSbRh2
_chemical_formula_sum 'Cd1 Sb1 Rh2'
_space_group_name_H-M_alt 'P 1'
_space_group_IT_number 1
_cell_length_a 3.178
_cell_length_b 4.315
_cell_length_c 5.548
_cell_angle_alpha 101.60
_cell_angle_beta 90.00
_cell_angle_gamma 111.61
loop_
_space_group_symop_operation_xyz
'x,y,z'
loop_
_atom_site_label
_atom_site_fract_x
_atom_site_fract_y
_atom_site_fract_z
Sb1 0.000 0.000 0.500
Rh1 0.255 0.509 0.273
Rh2 0.745 0.491 0.727
Cd1 0.500 0.000 0.000

=====

# Ti3ZnN, optimized geometry, DFT GGA-PBEsol
# **D(E_F)**: 0.925 states/eV/atom
# **Total energy**: -27.01 eV per cell
# **Total magnetic moment**: 2.6 μB per formula unit
# **Symmetry**: Pm-3m, No. 221
# **Uncorrected formation energy**: 1.614 eV per atom
data_Ti3ZnN
_chemical_formula_sum 'Ti3 Zn1 N1'
_space_group_name_H-M_alt 'P 1'
_space_group_IT_number 1
_cell_length_a 4.550
_cell_length_b 4.550
_cell_length_c 4.550
_cell_angle_alpha 90.00
_cell_angle_beta 90.00
_cell_angle_gamma 90.00
loop_
_space_group_symop_operation_xyz
'x,y,z'
loop_
_atom_site_label
_atom_site_fract_x
_atom_site_fract_y
_atom_site_fract_z
Zn1 0.000 0.000 0.000
Ti1 0.000 0.000 0.500
Ti2 0.500 0.000 0.000
Ti3 0.000 0.500 0.000
N1 0.500 0.500 0.500

=====

# BiHS2, optimized geometry, DFT GGA-PBEsol
# **D(E_F)**: 0.644 states/eV/atom
# **Total energy**: -14.49 eV per cell
# **Total magnetic moment**: 0.2 μB per formula unit
# **Symmetry**: Fm-3m, No. 225
data_BiHS2
_chemical_formula_sum 'Bi1 H1 S2'
_space_group_name_H-M_alt 'P 1'
_space_group_IT_number 1
_cell_length_a 4.630
_cell_length_b 4.630
_cell_length_c 4.630
_cell_angle_alpha 60.00
_cell_angle_beta 60.00
_cell_angle_gamma 60.00
loop_
_space_group_symop_operation_xyz
'x,y,z'
loop_
_atom_site_label
_atom_site_fract_x
_atom_site_fract_y
_atom_site_fract_z
H1 0.000 0.000 0.000
S1 0.250 0.250 0.250
S2 0.750 0.750 0.750
Bi1 0.500 0.500 0.500

=====

# K2Hg2Bi, optimized geometry, DFT GGA-PBEsol
# **D(E_F)**: 0.477 states/eV/atom
# **Total energy**: -17.99 eV per cell
# **Total magnetic moment**: 0.0 μB per formula unit
# **Symmetry**: P4/mbm, No. 127
# **Formation enthalpy at 0 K**: -1.3 eV per formula unit
data_K2Hg2Bi
_chemical_formula_sum 'K4 Hg4 Bi2'
_space_group_name_H-M_alt 'P 1'
_space_group_IT_number 1
_cell_length_a 5.269
_cell_length_b 7.937
_cell_length_c 7.937
_cell_angle_alpha 90.00
_cell_angle_beta 90.00
_cell_angle_gamma 90.00
loop_
_space_group_symop_operation_xyz
'x,y,z'
loop_
_atom_site_label
_atom_site_fract_x
_atom_site_fract_y
_atom_site_fract_z
Bi1 0.000 0.500 0.500
Bi2 0.000 0.000 0.000
Hg1 0.000 0.130 0.370
Hg2 0.000 0.870 0.630
Hg3 0.000 0.370 0.870
Hg4 0.000 0.630 0.130
K1 0.500 0.820 0.320
K2 0.500 0.680 0.820
K3 0.500 0.180 0.680
K4 0.500 0.320 0.180

=====

# ZnTeCl2, optimized geometry, DFT GGA-PBEsol
# **D(E_F)**: 1.253 states/eV/atom
# **Total energy**: -8.74 eV per cell
# **Total magnetic moment**: 0.0 μB per formula unit
# **Symmetry**: F-43m, No. 216
# **Uncorrected formation energy**: 0.096 eV per atom
data_ZnTeCl2
_chemical_formula_sum 'Zn1 Te1 Cl2'
_space_group_name_H-M_alt 'P 1'
_space_group_IT_number 1
_cell_length_a 4.865
_cell_length_b 4.865
_cell_length_c 4.865
_cell_angle_alpha 60.00
_cell_angle_beta 60.00
_cell_angle_gamma 60.00
loop_
_space_group_symop_operation_xyz
'x,y,z'
loop_
_atom_site_label
_atom_site_fract_x
_atom_site_fract_y
_atom_site_fract_z
Zn1 0.250 0.250 0.250
Cl1 0.750 0.750 0.750
Cl2 0.000 0.000 0.000
Te1 0.500 0.500 0.500